# Tl6TcCl12

A relaxed Tl6TcCl12 crystal (PBE, the Alexandria database).

```
data_Tl6TcCl12
_cell_length_a 12.6389
_cell_length_b 12.6389
_cell_length_c 14.6823
_cell_angle_alpha 90.00
_cell_angle_beta 90.00
_cell_angle_gamma 120.00
_space_group_name_H-M_alt 'R -3'
_space_group_IT_number 148
_space_group_name_Hall '-R 3'
loop_
_atom_site_label
_atom_site_type_symbol
_atom_site_fract_x
_atom_site_fract_y
_atom_site_fract_z
Tl1 Tl 0.0086 0.7963 0.2545
Tc1 Tc 0.0000 0.0000 0.0000
Cl1 Cl 0.0032 0.8512 0.9057
Cl2 Cl 0.0082 0.8010 0.6514
```

Properties
ΔE_f (raw) ... -0.80 eV per atom
E_tot ... -185.8 eV per cell

---

# TlTc2Cl

A relaxed TlTc2Cl crystal (PBE, the Alexandria database).

```
data_TlTc2Cl
_cell_length_a 3.264
_cell_length_b 4.210
_cell_length_c 6.006
_cell_angle_alpha 90.00
_cell_angle_beta 90.00
_cell_angle_gamma 90.00
_space_group_name_H-M_alt 'P m m m'
_space_group_IT_number 47
loop_
_space_group_symop_operation_xyz
'x,y,z'
'-x,-y,-z'
'-x,-y,z'
'x,y,-z'
'x,-y,-z'
'-x,y,z'
'-x,y,-z'
'x,-y,z'
loop_
_atom_site_label
_atom_site_type_symbol
_atom_site_fract_x
_atom_site_fract_y
_atom_site_fract_z
Tl1 Tl 0.000 0.000 0.000
Tc1 Tc 0.500 0.500 0.183
Cl1 Cl 0.500 0.000 0.500
```

Properties
ΔE_f (raw) ... 0.74 eV per atom
E_tot ... -22.0 eV per cell
Relative energy among the computed polymorphs ... 626 meV per atom

---

# Tl2TcCl

A relaxed Tl2TcCl crystal (PBE, the Alexandria database).

```
data_Tl2TcCl
_cell_length_a 3.203
_cell_length_b 5.739
_cell_length_c 10.532
_cell_angle_alpha 90.00
_cell_angle_beta 90.00
_cell_angle_gamma 90.00
_space_group_name_H-M_alt 'C m m 2'
_space_group_IT_number 35
loop_
_space_group_symop_operation_xyz
'x,y,z'
'-x,-y,z'
'-x,y,z'
'x,-y,z'
'x+1/2,y+1/2,z'
'-x+1/2,-y+1/2,z'
'-x+1/2,y+1/2,z'
'x+1/2,-y+1/2,z'
loop_
_atom_site_label
_atom_site_type_symbol
_atom_site_fract_x
_atom_site_fract_y
_atom_site_fract_z
Tl1 Tl 0.000 0.000 0.000
Tl2 Tl 0.000 0.500 0.281
Tc1 Tc 0.000 0.500 0.771
Cl1 Cl 0.000 0.000 0.606
```

Properties
ΔE_f (raw) ... 0.32 eV per atom
E_tot ... -31.4 eV per cell
Relative energy among the computed polymorphs ... 100 meV per atom

---

# Tl2TcCl

A relaxed Tl2TcCl crystal (PBE, the Alexandria database).

```
data_Tl2TcCl
_cell_length_a 7.352
_cell_length_b 7.352
_cell_length_c 7.352
_cell_angle_alpha 90.00
_cell_angle_beta 90.00
_cell_angle_gamma 90.00
_space_group_name_H-M_alt 'F -4 3 m'
_space_group_IT_number 216
_space_group_name_Hall 'F -4 2 3'
loop_
_atom_site_label
_atom_site_type_symbol
_atom_site_fract_x
_atom_site_fract_y
_atom_site_fract_z
Tl1 Tl 0.000 0.000 0.000
Tl2 Tl 0.250 0.250 0.250
Tc1 Tc 0.250 0.250 0.750
Cl1 Cl 0.000 0.000 0.500
```

Properties
ΔE_f (raw) ... 0.71 eV per atom
E_tot ... -56.5 eV per cell
Relative energy among the computed polymorphs ... 489 meV per atom

---

# Tl3TcCl

A relaxed Tl3TcCl crystal (PBE, the Alexandria database).

```
data_Tl3TcCl
_cell_length_a 5.358
_cell_length_b 5.358
_cell_length_c 5.358
_cell_angle_alpha 90.00
_cell_angle_beta 90.00
_cell_angle_gamma 90.00
_space_group_name_H-M_alt 'P m -3 m'
_space_group_IT_number 221
_space_group_name_Hall '-P 4 2 3'
loop_
_atom_site_label
_atom_site_type_symbol
_atom_site_fract_x
_atom_site_fract_y
_atom_site_fract_z
Tl1 Tl 0.000 0.000 0.500
Tc1 Tc 0.000 0.000 0.000
Cl1 Cl 0.500 0.500 0.500
```

Properties
ΔE_f (raw) ... 0.18 eV per atom
E_tot ... -18.4 eV per cell
Relative energy among the computed polymorphs ... 0 meV per atom

---

# TlTcCl

A relaxed TlTcCl crystal (PBE, the Alexandria database).

```
data_TlTcCl
_cell_length_a 4.6308
_cell_length_b 4.6308
_cell_length_c 3.3073
_cell_angle_alpha 90.00
_cell_angle_beta 90.00
_cell_angle_gamma 120.00
_space_group_name_H-M_alt 'P -6 m 2'
_space_group_IT_number 187
_space_group_name_Hall 'P -6 2'
loop_
_atom_site_label
_atom_site_type_symbol
_atom_site_fract_x
_atom_site_fract_y
_atom_site_fract_z
Tl1 Tl 0.0000 0.0000 0.0000
Tc1 Tc 0.3333 0.6667 0.5000
Cl1 Cl 0.6667 0.3333 0.5000
```

Properties
ΔE_f (raw) ... 0.63 eV per atom
E_tot ... -12.7 eV per cell
Relative energy among the computed polymorphs ... 301 meV per atom

---

# TlTc2Cl

A relaxed TlTc2Cl crystal (PBE, the Alexandria database).

```
data_TlTc2Cl
_cell_length_a 2.927
_cell_length_b 5.183
_cell_length_c 9.066
_cell_angle_alpha 90.00
_cell_angle_beta 90.00
_cell_angle_gamma 90.00
_space_group_name_H-M_alt 'I m m m'
_space_group_IT_number 71
_space_group_name_Hall '-I 2 2'
loop_
_atom_site_label
_atom_site_type_symbol
_atom_site_fract_x
_atom_site_fract_y
_atom_site_fract_z
Tl1 Tl 0.000 0.000 0.000
Tc1 Tc 0.000 0.500 0.225
Cl1 Cl 0.000 0.000 0.500
```

Properties
ΔE_f (raw) ... 0.77 eV per atom
E_tot ... -43.7 eV per cell
Relative energy among the computed polymorphs ... 663 meV per atom

---

# TlTc2Cl

A relaxed TlTc2Cl crystal (PBE, the Alexandria database).

```
data_TlTc2Cl
_cell_length_a 6.612
_cell_length_b 6.612
_cell_length_c 6.612
_cell_angle_alpha 90.00
_cell_angle_beta 90.00
_cell_angle_gamma 90.00
_space_group_name_H-M_alt 'F -4 3 m'
_space_group_IT_number 216
_space_group_name_Hall 'F -4 2 3'
loop_
_atom_site_label
_atom_site_type_symbol
_atom_site_fract_x
_atom_site_fract_y
_atom_site_fract_z
Tl1 Tl 0.000 0.000 0.000
Tc1 Tc 0.000 0.000 0.500
Tc2 Tc 0.250 0.250 0.250
Cl1 Cl 0.250 0.250 0.750
```

Properties
ΔE_f (raw) ... 1.03 eV per atom
E_tot ... -83.3 eV per cell
Relative energy among the computed polymorphs ... 920 meV per atom

---

# TlTcCl3

A relaxed TlTcCl3 crystal (PBE, the Alexandria database).

```
data_TlTcCl3
_cell_length_a 5.478
_cell_length_b 5.478
_cell_length_c 5.478
_cell_angle_alpha 90.00
_cell_angle_beta 90.00
_cell_angle_gamma 90.00
_space_group_name_H-M_alt 'P m -3 m'
_space_group_IT_number 221
_space_group_name_Hall '-P 4 2 3'
loop_
_atom_site_label
_atom_site_type_symbol
_atom_site_fract_x
_atom_site_fract_y
_atom_site_fract_z
Tl1 Tl 0.000 0.000 0.000
Tc1 Tc 0.500 0.500 0.500
Cl1 Cl 0.000 0.000 0.500
```

Properties
ΔE_f (raw) ... 0.46 eV per atom
E_tot ... -16.0 eV per cell
Relative energy among the computed polymorphs ... 923 meV per atom

---

# Tl2TcCl

A relaxed Tl2TcCl crystal (PBE, the Alexandria database).

```
data_Tl2TcCl
_cell_length_a 5.339
_cell_length_b 5.339
_cell_length_c 3.186
_cell_angle_alpha 90.00
_cell_angle_beta 90.00
_cell_angle_gamma 90.00
_space_group_name_H-M_alt 'P 4/m m m'
_space_group_IT_number 123
_space_group_name_Hall '-P 4 2'
loop_
_atom_site_label
_atom_site_type_symbol
_atom_site_fract_x
_atom_site_fract_y
_atom_site_fract_z
Tl1 Tl 0.000 0.500 0.000
Tc1 Tc 0.000 0.000 0.500
Cl1 Cl 0.500 0.500 0.500
```

Properties
ΔE_f (raw) ... 0.33 eV per atom
E_tot ... -15.6 eV per cell
Relative energy among the computed polymorphs ... 110 meV per atom

---

# Tl2TcCl

A relaxed Tl2TcCl crystal (PBE, the Alexandria database).

```
data_Tl2TcCl
_cell_length_a 10.874
_cell_length_b 3.092
_cell_length_c 6.386
_cell_angle_alpha 90.00
_cell_angle_beta 115.39
_cell_angle_gamma 90.00
_space_group_name_H-M_alt 'C 1 m 1'
_space_group_IT_number 8
loop_
_space_group_symop_operation_xyz
'x,y,z'
'x,-y,z'
'x+1/2,y+1/2,z'
'x+1/2,-y+1/2,z'
loop_
_atom_site_label
_atom_site_type_symbol
_atom_site_fract_x
_atom_site_fract_y
_atom_site_fract_z
Tl1 Tl 0.000 0.000 0.000
Tl2 Tl 0.147 0.000 0.592
Tc1 Tc 0.407 0.000 0.576
Cl1 Cl 0.310 0.500 0.264
```

Properties
ΔE_f (raw) ... 0.24 eV per atom
E_tot ... -32.0 eV per cell
Relative energy among the computed polymorphs ... 25 meV per atom

---

# TlTc2Cl

A relaxed TlTc2Cl crystal (PBE, the Alexandria database).

```
data_TlTc2Cl
_cell_length_a 4.784
_cell_length_b 2.925
_cell_length_c 5.120
_cell_angle_alpha 90.00
_cell_angle_beta 90.07
_cell_angle_gamma 90.00
_space_group_name_H-M_alt 'P 1 2/m 1'
_space_group_IT_number 10
loop_
_space_group_symop_operation_xyz
'x,y,z'
'-x,-y,-z'
'-x,y,-z'
'x,-y,z'
loop_
_atom_site_label
_atom_site_type_symbol
_atom_site_fract_x
_atom_site_fract_y
_atom_site_fract_z
Tl1 Tl 0.000 0.000 0.000
Tc1 Tc 0.500 0.000 0.500
Tc2 Tc 0.500 0.500 0.000
Cl1 Cl 0.000 0.500 0.500
```

Properties
ΔE_f (raw) ... 0.87 eV per atom
E_tot ... -21.5 eV per cell
Relative energy among the computed polymorphs ... 755 meV per atom

---

# Tl2TcCl

A relaxed Tl2TcCl crystal (PBE, the Alexandria database).

```
data_Tl2TcCl
_cell_length_a 3.312
_cell_length_b 3.312
_cell_length_c 8.217
_cell_angle_alpha 90.00
_cell_angle_beta 90.00
_cell_angle_gamma 90.00
_space_group_name_H-M_alt 'P 4/m m m'
_space_group_IT_number 123
_space_group_name_Hall '-P 4 2'
loop_
_atom_site_label
_atom_site_type_symbol
_atom_site_fract_x
_atom_site_fract_y
_atom_site_fract_z
Tl1 Tl 0.000 0.000 0.225
Tc1 Tc 0.500 0.500 0.000
Cl1 Cl 0.500 0.500 0.500
```

Properties
ΔE_f (raw) ... 0.38 eV per atom
E_tot ... -15.4 eV per cell
Relative energy among the computed polymorphs ... 164 meV per atom

---

# Tl2TcCl

A relaxed Tl2TcCl crystal (PBE, the Alexandria database).

```
data_Tl2TcCl
_cell_length_a 4.567
_cell_length_b 4.567
_cell_length_c 9.374
_cell_angle_alpha 90.00
_cell_angle_beta 90.00
_cell_angle_gamma 90.00
_space_group_name_H-M_alt 'I 4/m m m'
_space_group_IT_number 139
_space_group_name_Hall '-I 4 2'
loop_
_atom_site_label
_atom_site_type_symbol
_atom_site_fract_x
_atom_site_fract_y
_atom_site_fract_z
Tl1 Tl 0.000 0.500 0.250
Tc1 Tc 0.000 0.000 0.000
Cl1 Cl 0.000 0.000 0.500
```

Properties
ΔE_f (raw) ... 0.65 eV per atom
E_tot ... -28.7 eV per cell
Relative energy among the computed polymorphs ... 431 meV per atom

---

# Tl2TcCl

A relaxed Tl2TcCl crystal (PBE, the Alexandria database).

```
data_Tl2TcCl
_cell_length_a 3.3380
_cell_length_b 3.3380
_cell_length_c 30.6755
_cell_angle_alpha 90.00
_cell_angle_beta 90.00
_cell_angle_gamma 120.00
_space_group_name_H-M_alt 'R 3 m'
_space_group_IT_number 160
_space_group_name_Hall 'R 3 -2"'
loop_
_atom_site_label
_atom_site_type_symbol
_atom_site_fract_x
_atom_site_fract_y
_atom_site_fract_z
Tl1 Tl 0.0000 0.0000 0.0000
Tl2 Tl 0.0000 0.0000 0.2410
Tc1 Tc 0.0000 0.0000 0.7413
Cl1 Cl 0.0000 0.0000 0.4523
```

Properties
ΔE_f (raw) ... 0.22 eV per atom
E_tot ... -48.2 eV per cell
Relative energy among the computed polymorphs ... 0 meV per atom

---

# TlTcCl3

A relaxed TlTcCl3 crystal (PBE, the Alexandria database).

```
data_TlTcCl3
_cell_length_a 17.393
_cell_length_b 3.567
_cell_length_c 8.974
_cell_angle_alpha 90.00
_cell_angle_beta 97.14
_cell_angle_gamma 90.00
_space_group_name_H-M_alt 'C 1 2/m 1'
_space_group_IT_number 12
loop_
_space_group_symop_operation_xyz
'x,y,z'
'-x,-y,-z'
'-x,y,-z'
'x,-y,z'
'x+1/2,y+1/2,z'
'-x+1/2,-y+1/2,-z'
'-x+1/2,y+1/2,-z'
'x+1/2,-y+1/2,z'
loop_
_atom_site_label
_atom_site_type_symbol
_atom_site_fract_x
_atom_site_fract_y
_atom_site_fract_z
Tl1 Tl 0.091 0.000 0.415
Tc1 Tc 0.212 0.500 0.901
Cl1 Cl 0.055 0.500 0.676
Cl2 Cl 0.139 0.000 0.002
Cl3 Cl 0.241 0.000 0.721
```

Properties
ΔE_f (raw) ... -0.46 eV per atom
E_tot ... -82.3 eV per cell
Relative energy among the computed polymorphs ... 0 meV per atom

---

# Tl2TcCl

A relaxed Tl2TcCl crystal (PBE, the Alexandria database).

```
data_Tl2TcCl
_cell_length_a 3.120
_cell_length_b 3.120
_cell_length_c 9.663
_cell_angle_alpha 90.00
_cell_angle_beta 90.00
_cell_angle_gamma 90.00
_space_group_name_H-M_alt 'P 4 m m'
_space_group_IT_number 99
loop_
_space_group_symop_operation_xyz
'x,y,z'
'-y,x,z'
'-x,-y,z'
'y,-x,z'
'-x,y,z'
'y,x,z'
'x,-y,z'
'-y,-x,z'
loop_
_atom_site_label
_atom_site_type_symbol
_atom_site_fract_x
_atom_site_fract_y
_atom_site_fract_z
Tl1 Tl 0.000 0.000 0.000
Tl2 Tl 0.500 0.500 0.311
Tc1 Tc 0.500 0.500 0.766
Cl1 Cl 0.000 0.000 0.645
```

Properties
ΔE_f (raw) ... 0.36 eV per atom
E_tot ... -15.5 eV per cell
Relative energy among the computed polymorphs ... 142 meV per atom

---

# TlTc2Cl

A relaxed TlTc2Cl crystal (PBE, the Alexandria database).

```
data_TlTc2Cl
_cell_length_a 6.495
_cell_length_b 6.495
_cell_length_c 6.495
_cell_angle_alpha 90.00
_cell_angle_beta 90.00
_cell_angle_gamma 90.00
_space_group_name_H-M_alt 'F m -3 m'
_space_group_IT_number 225
_space_group_name_Hall '-F 4 2 3'
loop_
_atom_site_label
_atom_site_type_symbol
_atom_site_fract_x
_atom_site_fract_y
_atom_site_fract_z
Tl1 Tl 0.000 0.000 0.000
Tc1 Tc 0.250 0.250 0.250
Cl1 Cl 0.000 0.000 0.500
```

Properties
ΔE_f (raw) ... 1.17 eV per atom
E_tot ... -81.0 eV per cell
Relative energy among the computed polymorphs ... 1063 meV per atom

---

# TlTc2Cl

A relaxed TlTc2Cl crystal (PBE, the Alexandria database).

```
data_TlTc2Cl
_cell_length_a 9.951
_cell_length_b 3.002
_cell_length_c 5.292
_cell_angle_alpha 90.00
_cell_angle_beta 104.72
_cell_angle_gamma 90.00
_space_group_name_H-M_alt 'C 1 m 1'
_space_group_IT_number 8
loop_
_space_group_symop_operation_xyz
'x,y,z'
'x,-y,z'
'x+1/2,y+1/2,z'
'x+1/2,-y+1/2,z'
loop_
_atom_site_label
_atom_site_type_symbol
_atom_site_fract_x
_atom_site_fract_y
_atom_site_fract_z
Tl1 Tl 0.000 0.000 0.000
Tc1 Tc 0.279 0.500 0.343
Tc2 Tc 0.490 0.000 0.478
Cl1 Cl 0.206 0.000 0.638
```

Properties
ΔE_f (raw) ... 0.65 eV per atom
E_tot ... -44.7 eV per cell
Relative energy among the computed polymorphs ... 536 meV per atom

---

# TlTcCl

A relaxed TlTcCl crystal (PBE, the Alexandria database).

```
data_TlTcCl
_cell_length_a 6.620
_cell_length_b 6.620
_cell_length_c 6.620
_cell_angle_alpha 90.00
_cell_angle_beta 90.00
_cell_angle_gamma 90.00
_space_group_name_H-M_alt 'F -4 3 m'
_space_group_IT_number 216
_space_group_name_Hall 'F -4 2 3'
loop_
_atom_site_label
_atom_site_type_symbol
_atom_site_fract_x
_atom_site_fract_y
_atom_site_fract_z
Tl1 Tl 0.000 0.000 0.000
Tc1 Tc 0.250 0.250 0.750
Cl1 Cl 0.000 0.000 0.500
```

Properties
ΔE_f (raw) ... 0.84 eV per atom
E_tot ... -48.2 eV per cell
Relative energy among the computed polymorphs ... 519 meV per atom